(1)
Below is crystalline LiAgTeOs2 at its relaxed geometry, with properties calculated at the PBE level.

Cell: 4.9086 4.1523 4.9086 Å, 90.00 90.00 90.00°
Atoms (fractional coordinates):
Te 0.5000 0.5000 0.5000
Os 0.5000 0.0000 0.0000
Ag 0.0000 0.0000 0.0000
Li 0.0000 0.5000 0.0000
Os 0.0000 0.0000 0.5000

## Properties
M_tot (μB per atom): 0.30
V (Å³ per atom): 20.01
Electronic total energy (eV/atom): -4.34
ΔE_f (raw) (eV per atom): 1.73

---

(2)
Below is crystalline Li2TiAgOs at its relaxed geometry, with properties calculated at the PBE level.

Cell: 4.7485 4.5506 4.7485 Å, 90.00 90.00 90.00°
Atoms (fractional coordinates):
Os 0.0000 0.0000 0.0000
Li 0.5000 0.0000 0.0000
Li 0.0000 0.0000 0.5000
Ti 0.0000 0.5000 0.0000
Ag 0.5000 0.5000 0.5000

## Properties
M_tot (μB per atom): 0.00
V (Å³ per atom): 20.52
Electronic total energy (eV/atom): -4.47
Formation energy (meV per atom): 691.0

---

(3)
Below is crystalline LiZn2AgOs at its relaxed geometry, with properties calculated at the PBE level.

Cell: 4.2069 4.2069 4.1474 Å, 90.00 90.00 90.00°
Atoms (fractional coordinates):
Li 0.0000 0.0000 0.0000
Zn 0.5000 0.0000 0.0000
Zn 0.0000 0.5000 0.0000
Ag 0.0000 0.0000 0.5000
Os 0.5000 0.5000 0.5000

## Properties
M_tot (μB per atom): 0.00
V (Å³ per atom): 14.68
Electronic total energy (eV/atom): -2.80
Formation energy (meV per atom): 912.4

---

(4)
Below is crystalline LiAg2P at its relaxed geometry, with properties calculated at the PBE level.

Cell: 4.0564 4.0564 3.8382 Å, 90.00 90.00 90.00°
Atoms (fractional coordinates):
P 0.0000 0.5000 0.5000
Ag 0.5000 0.5000 0.0000
Li 0.5000 0.0000 0.5000
Ag 0.0000 0.0000 0.0000

## Properties
M_tot (μB per atom): 0.00
V (Å³ per atom): 15.79
Energy above the lowest structure with this stoichiometry (meV/atom): 19
Electronic total energy (eV/atom): -3.35
Formation energy (meV per atom): -95.4

---

(5)
Below is crystalline Li17Ag3P6 at its relaxed geometry, with properties calculated at the PBE level.

Cell: 7.4154 7.4154 7.7454 Å, 90.00 90.00 120.01°
Atoms (fractional coordinates):
Li 0.6666 0.3333 0.7042
P 0.3527 0.0000 0.4956
Li 0.3555 0.3554 0.2831
P 0.0000 0.6706 0.9518
Li 0.3333 0.6667 0.4014
Li 0.0000 0.3370 0.8307
Li 0.0000 0.7094 0.6223
Li 0.6933 0.6933 0.1663
P 0.0000 0.3527 0.4956
Li 0.6667 0.3333 0.4014
Li 0.0000 0.0000 0.9819
Li 0.0000 0.6446 0.2831
P 0.3295 0.3295 0.9518
Li 0.3333 0.6667 0.7042
P 0.6706 0.0000 0.9518
Ag 0.6667 0.3333 0.0466
P 0.6473 0.6473 0.4956
Li 0.2906 0.2906 0.6223
Li 0.3067 0.0000 0.1662
Li 0.6446 0.0000 0.2831
Ag 0.0000 0.0000 0.4026
Li 0.6630 0.6630 0.8307
Ag 0.3333 0.6667 0.0466
Li 0.0000 0.3067 0.1663
Li 0.3370 0.0000 0.8307
Li 0.7094 0.0000 0.6223

## Properties
M_tot (μB per atom): 0.00
V (Å³ per atom): 14.19
Electronic total energy (eV/atom): -3.34
Formation energy (meV per atom): -511.5

---

(6)
Below is crystalline LiAg2P at its relaxed geometry, with properties calculated at the PBE level.

Cell: 2.8177 2.8177 8.3567 Å, 90.00 90.00 89.99°
Atoms (fractional coordinates):
Li 0.5000 0.5000 0.2500
Ag 0.0000 0.0000 0.4941
P 0.5000 0.5000 0.7500
Ag 0.0000 0.0000 0.0059

## Properties
M_tot (μB per atom): 0.00
V (Å³ per atom): 16.59
Energy above the lowest structure with this stoichiometry (meV/atom): 233
Electronic total energy (eV/atom): -3.14
Formation energy (meV per atom): 118.4